No. 1
# Na2HgF PBE optimized geometry
# Crystal system = tetragonal
# Energy relative to the lowest polymorph listed for this composition = 0.082 eV/atom
# Formation energy without anion corrections = -1.32 eV/atom
# DFT total energy = -10.103 eV for the cell shown
data_Na2HgF
_symmetry_space_group_name_H-M 'P 4/m m m'
_symmetry_Int_Tables_number 123
_symmetry_space_group_name_Hall '-P 4 2'
_cell_length_a 3.098
_cell_length_b 3.098
_cell_length_c 7.829
_cell_angle_alpha 90.00
_cell_angle_beta 90.00
_cell_angle_gamma 90.00
loop_
_atom_site_label
_atom_site_fract_x
_atom_site_fract_y
_atom_site_fract_z
_atom_site_occupancy
Na1 0.000 0.000 0.180 1
Hg1 0.500 0.500 0.500 1
F1 0.500 0.500 0.000 1



No. 2
# NaHg3F6 PBE optimized geometry
# Crystal system = monoclinic
# Energy relative to the lowest polymorph listed for this composition = 0.012 eV/atom
# Formation energy without anion corrections = -1.58 eV/atom
# DFT total energy = -58.500 eV for the cell shown
data_NaHg3F6
_symmetry_space_group_name_H-M 'P 1 21/c 1'
_symmetry_Int_Tables_number 14
_cell_length_a 5.894
_cell_length_b 6.118
_cell_length_c 10.676
_cell_angle_alpha 90.00
_cell_angle_beta 122.15
_cell_angle_gamma 90.00
loop_
_symmetry_equiv_pos_as_xyz
'x,y,z'
'-x,-y,-z'
'-x,y+1/2,-z+1/2'
'x,-y+1/2,z+1/2'
loop_
_atom_site_label
_atom_site_fract_x
_atom_site_fract_y
_atom_site_fract_z
_atom_site_occupancy
Na1 0.000 0.000 0.000 1
Hg1 0.219 0.066 0.748 1
Hg2 0.500 0.000 0.500 1
F1 0.104 0.199 0.413 1
F2 0.210 0.699 0.409 1
F3 0.401 0.091 0.245 1



No. 3
# Na2HgF5 PBE optimized geometry
# Crystal system = orthorhombic
# Formation energy without anion corrections = -1.97 eV/atom
# DFT total energy = -112.069 eV for the cell shown
data_Na2HgF5
_symmetry_space_group_name_H-M 'C m c m'
_symmetry_Int_Tables_number 63
_symmetry_space_group_name_Hall '-C 2c 2'
_cell_length_a 4.554
_cell_length_b 11.405
_cell_length_c 10.981
_cell_angle_alpha 90.00
_cell_angle_beta 90.00
_cell_angle_gamma 90.00
loop_
_atom_site_label
_atom_site_fract_x
_atom_site_fract_y
_atom_site_fract_z
_atom_site_occupancy
Na1 0.000 0.148 0.073 1
Hg1 0.000 0.179 0.750 1
F1 0.000 0.049 0.613 1
F2 0.000 0.254 0.250 1
F3 0.000 0.296 0.594 1



No. 4
# Na4HgF5 PBE optimized geometry
# Crystal system = tetragonal
# Formation energy without anion corrections = -2.32 eV/atom
# DFT total energy = -76.246 eV for the cell shown
data_Na4HgF5
_symmetry_space_group_name_H-M 'I 4/m'
_symmetry_Int_Tables_number 87
_symmetry_space_group_name_Hall '-I 4'
_cell_length_a 7.820
_cell_length_b 7.820
_cell_length_c 4.740
_cell_angle_alpha 90.00
_cell_angle_beta 90.00
_cell_angle_gamma 90.00
loop_
_atom_site_label
_atom_site_fract_x
_atom_site_fract_y
_atom_site_fract_z
_atom_site_occupancy
Na1 0.112 0.311 0.000 1
Hg1 0.000 0.000 0.500 1
F1 0.000 0.000 0.000 1
F2 0.119 0.327 0.500 1



No. 5
# NaHgF PBE optimized geometry
# Crystal system = hexagonal
# Energy relative to the lowest polymorph listed for this composition = 0.021 eV/atom
# Formation energy without anion corrections = -1.65 eV/atom
# DFT total energy = -8.441 eV for the cell shown
data_NaHgF
_symmetry_space_group_name_H-M 'P -6 m 2'
_symmetry_Int_Tables_number 187
_symmetry_space_group_name_Hall 'P -6 2'
_cell_length_a 3.7345
_cell_length_b 3.7345
_cell_length_c 6.3588
_cell_angle_alpha 90.00
_cell_angle_beta 90.00
_cell_angle_gamma 120.00
loop_
_atom_site_label
_atom_site_fract_x
_atom_site_fract_y
_atom_site_fract_z
_atom_site_occupancy
Na1 0.0000 0.0000 0.0000 1
Hg1 0.3333 0.6667 0.5000 1
F1 0.6667 0.3333 0.0000 1



No. 6
# Na2Hg3F8 PBE optimized geometry
# Crystal system = monoclinic
# Formation energy without anion corrections = -1.81 eV/atom
# DFT total energy = -84.046 eV for the cell shown
data_Na2Hg3F8
_symmetry_space_group_name_H-M 'C 1 2/m 1'
_symmetry_Int_Tables_number 12
_cell_length_a 11.690
_cell_length_b 7.065
_cell_length_c 5.953
_cell_angle_alpha 90.00
_cell_angle_beta 112.11
_cell_angle_gamma 90.00
loop_
_symmetry_equiv_pos_as_xyz
'x,y,z'
'-x,-y,-z'
'-x,y,-z'
'x,-y,z'
'x+1/2,y+1/2,z'
'-x+1/2,-y+1/2,-z'
'-x+1/2,y+1/2,-z'
'x+1/2,-y+1/2,z'
loop_
_atom_site_label
_atom_site_fract_x
_atom_site_fract_y
_atom_site_fract_z
_atom_site_occupancy
Na1 0.216 0.000 0.140 1
Hg1 0.000 0.239 0.500 1
Hg2 0.000 0.500 0.000 1
F1 0.094 0.000 0.370 1
F2 0.117 0.500 0.448 1
F3 0.124 0.284 0.913 1



No. 7
# Na3Hg2F8 PBE optimized geometry
# Crystal system = monoclinic
# Energy relative to the lowest polymorph listed for this composition = 0.018 eV/atom
# Formation energy without anion corrections = -1.92 eV/atom
# DFT total energy = -89.016 eV for the cell shown
data_Na3Hg2F8
_symmetry_space_group_name_H-M 'C 1 2/m 1'
_symmetry_Int_Tables_number 12
_cell_length_a 12.021
_cell_length_b 6.418
_cell_length_c 5.606
_cell_angle_alpha 90.00
_cell_angle_beta 110.52
_cell_angle_gamma 90.00
loop_
_symmetry_equiv_pos_as_xyz
'x,y,z'
'-x,-y,-z'
'-x,y,-z'
'x,-y,z'
'x+1/2,y+1/2,z'
'-x+1/2,-y+1/2,-z'
'-x+1/2,y+1/2,-z'
'x+1/2,-y+1/2,z'
loop_
_atom_site_label
_atom_site_fract_x
_atom_site_fract_y
_atom_site_fract_z
_atom_site_occupancy
Na1 0.000 0.000 0.000 1
Na2 0.000 0.265 0.500 1
Hg1 0.235 0.500 0.180 1
F1 0.107 0.500 0.370 1
F2 0.116 0.000 0.442 1
F3 0.129 0.230 0.911 1



No. 8
# NaHgF5 PBE optimized geometry
# Crystal system = monoclinic
# Formation energy without anion corrections = -1.37 eV/atom
# DFT total energy = -82.363 eV for the cell shown
data_NaHgF5
_symmetry_space_group_name_H-M 'C 1 2/c 1'
_symmetry_Int_Tables_number 15
_cell_length_a 8.061
_cell_length_b 6.384
_cell_length_c 8.594
_cell_angle_alpha 90.00
_cell_angle_beta 109.67
_cell_angle_gamma 90.00
loop_
_symmetry_equiv_pos_as_xyz
'x,y,z'
'-x,-y,-z'
'-x,y,-z+1/2'
'x,-y,z+1/2'
'x+1/2,y+1/2,z'
'-x+1/2,-y+1/2,-z'
'-x+1/2,y+1/2,-z+1/2'
'x+1/2,-y+1/2,z+1/2'
loop_
_atom_site_label
_atom_site_fract_x
_atom_site_fract_y
_atom_site_fract_z
_atom_site_occupancy
Na1 0.000 0.000 0.000 1
Hg1 0.000 0.476 0.250 1
F1 0.000 0.204 0.750 1
F2 0.147 0.207 0.209 1
F3 0.168 0.470 0.478 1



No. 9
# Na5Hg3F12 PBE optimized geometry
# Crystal system = cubic
# Formation energy without anion corrections = -1.95 eV/atom
# DFT total energy = -552.280 eV for the cell shown
data_Na5Hg3F12
_symmetry_space_group_name_H-M 'I a -3 d'
_symmetry_Int_Tables_number 230
_symmetry_space_group_name_Hall '-I 4bd 2c 3'
_cell_length_a 13.375
_cell_length_b 13.375
_cell_length_c 13.375
_cell_angle_alpha 90.00
_cell_angle_beta 90.00
_cell_angle_gamma 90.00
loop_
_atom_site_label
_atom_site_fract_x
_atom_site_fract_y
_atom_site_fract_z
_atom_site_occupancy
Na1 0.000 0.000 0.000 1
Na2 0.000 0.250 0.375 1
Hg1 0.000 0.250 0.125 1
F1 0.027 0.082 0.649 1



No. 10
# Na3HgF4 PBE optimized geometry
# Crystal system = orthorhombic
# Formation energy without anion corrections = -2.20 eV/atom
# DFT total energy = -58.671 eV for the cell shown
data_Na3HgF4
_symmetry_space_group_name_H-M 'P m m n'
_symmetry_Int_Tables_number 59
_cell_length_a 4.781
_cell_length_b 8.183
_cell_length_c 7.234
_cell_angle_alpha 90.00
_cell_angle_beta 90.00
_cell_angle_gamma 90.00
loop_
_symmetry_equiv_pos_as_xyz
'x,y,z'
'-x,-y,-z'
'-x+1/2,-y+1/2,z'
'x+1/2,y+1/2,-z'
'x+1/2,-y,-z'
'-x+1/2,y,z'
'-x,y+1/2,-z'
'x,-y+1/2,z'
loop_
_atom_site_label
_atom_site_fract_x
_atom_site_fract_y
_atom_site_fract_z
_atom_site_occupancy
Na1 0.250 0.004 0.160 1
Na2 0.250 0.750 0.679 1
Hg1 0.250 0.250 0.659 1
F1 0.250 0.250 0.300 1
F2 0.250 0.520 0.849 1
F3 0.250 0.750 0.340 1



No. 11
# NaHgF2 PBE optimized geometry
# Crystal system = tetragonal
# Energy relative to the lowest polymorph listed for this composition = 0.065 eV/atom
# Formation energy without anion corrections = -1.74 eV/atom
# DFT total energy = -49.367 eV for the cell shown
data_NaHgF2
_symmetry_space_group_name_H-M 'I -4 2 d'
_symmetry_Int_Tables_number 122
_symmetry_space_group_name_Hall 'I -4 2bw'
_cell_length_a 5.633
_cell_length_b 5.633
_cell_length_c 9.905
_cell_angle_alpha 90.00
_cell_angle_beta 90.00
_cell_angle_gamma 90.00
loop_
_atom_site_label
_atom_site_fract_x
_atom_site_fract_y
_atom_site_fract_z
_atom_site_occupancy
Na1 0.000 0.000 0.000 1
Hg1 0.000 0.000 0.500 1
F1 0.213 0.250 0.125 1



No. 12
# Na2HgF4 PBE optimized geometry
# Crystal system = monoclinic
# Energy relative to the lowest polymorph listed for this composition = 0.007 eV/atom
# Formation energy without anion corrections = -2.17 eV/atom
# DFT total energy = -51.203 eV for the cell shown
data_Na2HgF4
_symmetry_space_group_name_H-M 'C 1 2/m 1'
_symmetry_Int_Tables_number 12
_cell_length_a 12.356
_cell_length_b 3.459
_cell_length_c 5.787
_cell_angle_alpha 90.00
_cell_angle_beta 117.26
_cell_angle_gamma 90.00
loop_
_symmetry_equiv_pos_as_xyz
'x,y,z'
'-x,-y,-z'
'-x,y,-z'
'x,-y,z'
'x+1/2,y+1/2,z'
'-x+1/2,-y+1/2,-z'
'-x+1/2,y+1/2,-z'
'x+1/2,-y+1/2,z'
loop_
_atom_site_label
_atom_site_fract_x
_atom_site_fract_y
_atom_site_fract_z
_atom_site_occupancy
Na1 0.210 0.000 0.216 1
Hg1 0.000 0.500 0.500 1
F1 0.128 0.500 0.337 1
F2 0.145 0.000 0.781 1